Record 1
LiMo2Br: optimized geometry, GGA-PBE.

Structure (CIF):
```
data_LiMo2Br
_chemical_formula_sum 'Li3 Mo6 Br3'
_cell_length_a 2.9315
_cell_length_b 2.9315
_cell_length_c 27.3169
_cell_angle_alpha 90.00
_cell_angle_beta 90.00
_cell_angle_gamma 120.00
_symmetry_space_group_name_H-M 'R -3 m'
_symmetry_Int_Tables_number 166
_symmetry_space_group_name_Hall '-R 3 2"'
loop_
_atom_site_label
_atom_site_type_symbol
_atom_site_fract_x
_atom_site_fract_y
_atom_site_fract_z
_atom_site_occupancy
Li1 Li 0.0000 0.0000 0.0000 1
Mo1 Mo 0.0000 0.0000 0.2447 1
Br1 Br 0.0000 0.0000 0.5000 1
```

Excess energy over the best structure of this formula in the dataset ... 735 meV/atom
D(E_F) ... 7.49 states/eV/cell
Energy relative to the elements, uncorrected ... 0.80 eV/atom
Energy ... -5.5075 eV per atom


Record 2
KYSe2O8: optimized geometry, GGA-PBE.

Structure (CIF):
```
data_KYSe2O8
_chemical_formula_sum 'K2 Y2 Se4 O16'
_cell_length_a 9.174
_cell_length_b 5.787
_cell_length_c 8.373
_cell_angle_alpha 90.00
_cell_angle_beta 91.75
_cell_angle_gamma 90.00
_symmetry_space_group_name_H-M 'C 1 2/m 1'
_symmetry_Int_Tables_number 12
loop_
_symmetry_equiv_pos_as_xyz
'x,y,z'
'-x,-y,-z'
'-x,y,-z'
'x,-y,z'
'x+1/2,y+1/2,z'
'-x+1/2,-y+1/2,-z'
'-x+1/2,y+1/2,-z'
'x+1/2,-y+1/2,z'
loop_
_atom_site_label
_atom_site_type_symbol
_atom_site_fract_x
_atom_site_fract_y
_atom_site_fract_z
_atom_site_occupancy
K1 K 0.000 0.000 0.000 1
Y1 Y 0.000 0.000 0.500 1
Se1 Se 0.139 0.500 0.277 1
O1 O 0.033 0.265 0.302 1
O2 O 0.204 0.500 0.097 1
O3 O 0.236 0.000 0.574 1
```

D(E_F) ... 0.00 states/eV/cell
Energy relative to the elements, uncorrected ... -1.55 eV/atom
Energy ... -6.0635 eV per atom


Record 3
CsAcGaS4: optimized geometry, GGA-PBE.

Structure (CIF):
```
data_CsAcGaS4
_chemical_formula_sum 'Cs2 Ac2 Ga2 S8'
_cell_length_a 7.370
_cell_length_b 5.902
_cell_length_c 10.091
_cell_angle_alpha 90.00
_cell_angle_beta 103.46
_cell_angle_gamma 90.00
_symmetry_space_group_name_H-M 'P 1 21/m 1'
_symmetry_Int_Tables_number 11
loop_
_symmetry_equiv_pos_as_xyz
'x,y,z'
'-x,-y,-z'
'-x,y+1/2,-z'
'x,-y+1/2,z'
loop_
_atom_site_label
_atom_site_type_symbol
_atom_site_fract_x
_atom_site_fract_y
_atom_site_fract_z
_atom_site_occupancy
Cs1 Cs 0.249 0.250 0.463 1
Ac1 Ac 0.245 0.250 0.943 1
Ga1 Ga 0.250 0.750 0.174 1
S1 S 0.056 0.750 0.313 1
S2 S 0.109 0.750 0.946 1
S3 S 0.490 0.017 0.205 1
```

D(E_F) ... 3.53 states/eV/cell
Energy relative to the elements, uncorrected ... -1.32 eV/atom
Energy ... -4.8227 eV per atom


Record 4
Pr3Co7Cu2: optimized geometry, GGA-PBE.

Structure (CIF):
```
data_Pr3Co7Cu2
_chemical_formula_sum 'Pr9 Co21 Cu6'
_cell_length_a 5.0541
_cell_length_b 5.0541
_cell_length_c 25.5057
_cell_angle_alpha 90.00
_cell_angle_beta 90.00
_cell_angle_gamma 120.00
_symmetry_space_group_name_H-M 'R -3 m'
_symmetry_Int_Tables_number 166
_symmetry_space_group_name_Hall '-R 3 2"'
loop_
_atom_site_label
_atom_site_type_symbol
_atom_site_fract_x
_atom_site_fract_y
_atom_site_fract_z
_atom_site_occupancy
Pr1 Pr 0.0000 0.0000 0.0000 1
Pr2 Pr 0.0000 0.0000 0.1392 1
Co1 Co 0.0000 0.0000 0.5000 1
Co2 Co 0.0028 0.5014 0.0810 1
Cu1 Cu 0.0000 0.0000 0.3330 1
```

Formation energy ... -0.027 eV/atom
D(E_F) ... 47.16 states/eV/cell
Energy ... -6.0497 eV per atom


Record 5
SrSc2Nb: optimized geometry, GGA-PBE.

Structure (CIF):
```
data_SrSc2Nb
_chemical_formula_sum 'Sr3 Sc6 Nb3'
_cell_length_a 3.2492
_cell_length_b 3.2492
_cell_length_c 34.6469
_cell_angle_alpha 90.00
_cell_angle_beta 90.00
_cell_angle_gamma 120.00
_symmetry_space_group_name_H-M 'R -3 m'
_symmetry_Int_Tables_number 166
_symmetry_space_group_name_Hall '-R 3 2"'
loop_
_atom_site_label
_atom_site_type_symbol
_atom_site_fract_x
_atom_site_fract_y
_atom_site_fract_z
_atom_site_occupancy
Sr1 Sr 0.0000 0.0000 0.0000 1
Sc1 Sc 0.0000 0.0000 0.4226 1
Nb1 Nb 0.0000 0.0000 0.5000 1
```

Excess energy over the best structure of this formula in the dataset ... 183 meV/atom
Formation energy ... 0.717 eV/atom
D(E_F) ... 23.24 states/eV/cell
Energy ... -5.3862 eV per atom


Record 6
RbLiMo2: optimized geometry, GGA-PBE.

Structure (CIF):
```
data_RbLiMo2
_chemical_formula_sum 'Rb4 Li4 Mo8'
_cell_length_a 6.684
_cell_length_b 6.684
_cell_length_c 6.684
_cell_angle_alpha 90.00
_cell_angle_beta 90.00
_cell_angle_gamma 90.00
_symmetry_space_group_name_H-M 'F m -3 m'
_symmetry_Int_Tables_number 225
_symmetry_space_group_name_Hall '-F 4 2 3'
loop_
_atom_site_label
_atom_site_type_symbol
_atom_site_fract_x
_atom_site_fract_y
_atom_site_fract_z
_atom_site_occupancy
Rb1 Rb 0.000 0.000 0.000 1
Li1 Li 0.000 0.000 0.500 1
Mo1 Mo 0.250 0.250 0.250 1
```

Excess energy over the best structure of this formula in the dataset ... 588 meV/atom
Formation energy ... 2.246 eV/atom
D(E_F) ... 23.16 states/eV/cell
Energy ... -3.8897 eV per atom